(1)
CsAg2F after structural relaxation. Source: Alexandria, functional PBE.

Cell and atoms, written as POSCAR:
```
CsAg2F
1.0
2.9795 -3.1669 3.2426
3.4830 2.2271 3.5113
-1.0339 -0.1686 5.3220
Cs F Ag
1 1 2
direct
0.5000 0.5000 0.5000
0.0000 0.0000 0.0000
0.7500 0.7500 0.7500
0.2500 0.2500 0.2500
```

Values from the calculation:
relative energy among the computed polymorphs = 92.9 meV per atom
SG = Fm-3m (225)
N(E_F) = 0.5038 states/eV per atom
calculated total energy = -8.4 eV/cell
magnetization = 0.0 μB/f.u.
uncorrected formation energy = 0.018 eV per atom

***

(2)
Cs12Ag3F5 after structural relaxation. Source: Alexandria, functional PBE.

Cell and atoms, written as POSCAR:
```
Cs12Ag3F5
1.0
17.1740 0.0000 0.0000
-5.7247 16.1918 0.0000
-5.7247 -8.0959 14.0225
Cs F Ag
48 20 12
direct
0.3964 0.3832 0.5782
0.9218 0.1036 0.6168
0.6818 0.1951 0.5782
0.6036 0.6168 0.4218
0.8049 0.4867 0.3832
0.3832 0.9867 0.8049
0.6951 0.1168 0.0133
0.3182 0.8049 0.4218
0.8964 0.0782 0.8832
0.9218 0.8182 0.8049
0.5133 0.3182 0.8964
0.1951 0.6818 0.0782
0.8049 0.3182 0.9218
0.6818 0.4867 0.6036
0.6951 0.5782 0.1818
0.8832 0.3049 0.4867
0.5782 0.6951 0.6818
0.6036 0.9867 0.6818
0.4218 0.1168 0.6036
0.6168 0.6036 0.9218
0.3049 0.4218 0.8182
0.4867 0.8049 0.8832
0.8964 0.8182 0.5133
0.1951 0.5133 0.6168
0.3832 0.3964 0.0782
0.6168 0.0133 0.1951
0.0133 0.6168 0.6951
0.9867 0.6036 0.1818
0.1168 0.4218 0.1036
0.8182 0.8964 0.0133
0.0782 0.8964 0.3832
0.1818 0.0782 0.6951
0.4218 0.3049 0.3182
0.3049 0.8832 0.9867
0.3182 0.5133 0.3964
0.5133 0.1951 0.1168
0.4867 0.6818 0.1036
0.3964 0.0133 0.3182
0.9867 0.3832 0.3049
0.1036 0.9218 0.1168
0.1168 0.6951 0.5133
0.8832 0.5782 0.8964
0.0133 0.3964 0.8182
0.1036 0.1818 0.4867
0.0782 0.1818 0.1951
0.5782 0.8832 0.3964
0.8182 0.9218 0.3049
0.1818 0.1036 0.9867
0.3750 0.2500 0.1250
0.1250 0.3750 0.2500
0.7500 0.6250 0.3750
0.6250 0.7500 0.8750
0.2500 0.3750 0.6250
0.3750 0.1250 0.7500
0.5000 0.0000 0.0000
0.2500 0.8750 0.1250
0.5000 0.5000 0.5000
0.0000 0.5000 0.5000
0.7500 0.1250 0.8750
0.5000 0.0000 0.5000
0.0000 0.0000 0.0000
0.8750 0.6250 0.7500
0.1250 0.7500 0.3750
0.0000 0.5000 0.0000
0.6250 0.8750 0.2500
0.0000 0.0000 0.5000
0.5000 0.5000 0.0000
0.8750 0.2500 0.6250
0.6250 0.3750 0.7500
0.2500 0.6250 0.8750
0.2500 0.1250 0.3750
0.3750 0.6250 0.2500
0.8750 0.1250 0.2500
0.3750 0.7500 0.6250
0.7500 0.3750 0.1250
0.8750 0.7500 0.1250
0.1250 0.2500 0.8750
0.6250 0.2500 0.3750
0.1250 0.8750 0.7500
0.7500 0.8750 0.6250
```

Values from the calculation:
SG = Ia-3d (230)
N(E_F) = 0.5243 states/eV per atom
calculated total energy = -212.6 eV/cell
magnetization = 0.2 μB/f.u.
uncorrected formation energy = -1.250 eV per atom

***

(3)
Cs5AgF6 after structural relaxation. Source: Alexandria, functional PBE.

Cell and atoms, written as POSCAR:
```
Cs5AgF6
1.0
-2.4230 -6.4323 -2.3930
4.6955 -2.4066 -5.0302
5.7347 -4.1864 2.0737
F Cs Ag
6 5 1
direct
0.2704 0.9014 0.6579
0.7296 0.0986 0.3421
0.7296 0.4407 0.6579
0.1777 0.1952 0.0000
0.8223 0.8048 0.0000
0.2704 0.5593 0.3421
0.0000 0.6754 0.6492
0.5000 0.8405 0.3190
0.5000 0.5000 0.0000
0.5000 0.1595 0.6810
0.0000 0.3246 0.3508
0.0000 0.0000 0.0000
```

Values from the calculation:
SG = C2/m (12)
N(E_F) = 0.0000 states/eV per atom
calculated total energy = -46.5 eV/cell
magnetization = 0.0 μB/f.u.
uncorrected formation energy = -2.346 eV per atom

***

Q: Which of these has the highest N(E_F)?
A: Cs12Ag3F5

***

Q: uncorrected formation energy of number 1 (CsAg2F)?
A: 0.018 eV per atom